Record 1
# Ce2Dy3HoSe6

A relaxed structure of Ce2Dy3HoSe6 (GGA-PBE, Alexandria).

Computed properties:
uncorrected formation energy = -1.78 eV per atom
volume = 295.3 Å³/f.u.
space-group type = C2/m, No. 12

The structure in POSCAR format:
```
Ce2Dy3HoSe6
1.0
3.549 -6.159 0.000
3.549 6.159 0.000
-2.378 0.000 6.754
Ce Dy Ho Se
2 3 1 6
direct
0.166 0.834 0.000
0.834 0.166 0.000
0.000 0.000 0.500
0.332 0.668 0.500
0.668 0.332 0.500
0.500 0.500 0.000
0.088 0.415 0.744
0.260 0.260 0.258
0.415 0.088 0.744
0.585 0.912 0.256
0.740 0.740 0.742
0.912 0.585 0.256
```

Record 2
# Ce3DyHo2Se6

A relaxed structure of Ce3DyHo2Se6 (GGA-PBE, Alexandria).

Computed properties:
uncorrected formation energy = -1.79 eV per atom
volume = 299.5 Å³/f.u.
space-group type = C2/m, No. 12

The structure in POSCAR format:
```
Ce3DyHo2Se6
1.0
3.549 -6.153 0.000
3.549 6.153 0.000
-2.370 0.000 6.857
Ce Dy Ho Se
3 1 2 6
direct
0.000 0.000 0.000
0.334 0.666 0.000
0.666 0.334 0.000
0.500 0.500 0.500
0.167 0.833 0.500
0.833 0.167 0.500
0.087 0.421 0.263
0.244 0.244 0.736
0.421 0.087 0.263
0.579 0.913 0.737
0.756 0.756 0.264
0.913 0.579 0.737
```

Record 3
# CeDy4Ho3Se8

A relaxed structure of CeDy4Ho3Se8 (GGA-PBE, Alexandria).

Computed properties:
uncorrected formation energy = -1.75 eV per atom
volume = 384.9 Å³/f.u.
space-group type = R-3m, No. 166

The structure in POSCAR format:
```
CeDy4Ho3Se8
1.0
4.084 2.358 6.662
-4.084 2.358 6.662
0.000 -4.715 6.662
Ce Dy Ho Se
1 4 3 8
direct
0.000 0.000 0.000
0.000 0.000 0.500
0.000 0.500 0.000
0.500 0.000 0.000
0.500 0.500 0.500
0.000 0.500 0.500
0.500 0.000 0.500
0.500 0.500 0.000
0.251 0.251 0.251
0.253 0.253 0.746
0.253 0.746 0.253
0.254 0.747 0.747
0.746 0.253 0.253
0.747 0.254 0.747
0.747 0.747 0.254
0.749 0.749 0.749
```

Record 4
# Ce3Dy2HoSe6

A relaxed structure of Ce3Dy2HoSe6 (GGA-PBE, Alexandria).

Computed properties:
uncorrected formation energy = -1.79 eV per atom
volume = 300.1 Å³/f.u.
space-group type = C2/m, No. 12

The structure in POSCAR format:
```
Ce3Dy2HoSe6
1.0
3.554 -6.162 0.000
3.554 6.162 0.000
-2.373 0.000 6.854
Ce Dy Ho Se
3 2 1 6
direct
0.000 0.000 0.000
0.333 0.667 0.000
0.667 0.333 0.000
0.167 0.833 0.500
0.833 0.167 0.500
0.500 0.500 0.500
0.089 0.421 0.263
0.247 0.247 0.738
0.421 0.089 0.263
0.579 0.911 0.737
0.753 0.753 0.262
0.911 0.579 0.737
```

Record 5
# Ce2DyHoSe6

A relaxed structure of Ce2DyHoSe6 (GGA-PBE, Alexandria).

Computed properties:
uncorrected formation energy = -1.80 eV per atom
volume = 305.4 Å³/f.u.
space-group type = R3, No. 146

The structure in POSCAR format:
```
Ce2DyHoSe6
1.0
3.683 2.126 6.499
-3.683 2.126 6.499
0.000 -4.253 6.499
Ce Dy Ho Se
2 1 1 6
direct
0.000 0.000 0.000
0.500 0.500 0.500
0.201 0.201 0.201
0.701 0.701 0.701
0.083 0.416 0.816
0.316 0.915 0.584
0.416 0.816 0.083
0.584 0.316 0.915
0.816 0.083 0.416
0.915 0.584 0.316
```

Record 6
# Ce2Sm6DyHo3

A relaxed structure of Ce2Sm6DyHo3 (GGA-PBE, Alexandria).

Computed properties:
volume = 388.1 Å³/f.u.
ΔH_f (0 K) = 0.64 eV/f.u.
space-group type = C2/m, No. 12

The structure in POSCAR format:
```
Ce2Sm6DyHo3
1.0
3.098 -5.368 0.000
3.098 5.368 0.000
-2.073 0.000 11.668
Ce Sm Dy Ho
2 6 1 3
direct
0.167 0.833 0.000
0.833 0.167 0.000
0.081 0.416 0.750
0.248 0.248 0.250
0.416 0.081 0.750
0.584 0.919 0.250
0.752 0.752 0.750
0.919 0.584 0.250
0.500 0.500 0.000
0.000 0.000 0.500
0.334 0.666 0.500
0.666 0.334 0.500
```

Record 7
# Ce2SmDy3Ho6

A relaxed structure of Ce2SmDy3Ho6 (GGA-PBE, Alexandria).

Computed properties:
volume = 374.0 Å³/f.u.
ΔH_f (0 K) = 0.58 eV/f.u.
space-group type = C2/m, No. 12

The structure in POSCAR format:
```
Ce2SmDy3Ho6
1.0
3.061 -5.302 0.000
3.061 5.302 0.000
-2.040 0.000 11.522
Ce Sm Dy Ho
2 1 3 6
direct
0.167 0.833 0.000
0.833 0.167 0.000
0.500 0.500 0.000
0.000 0.000 0.500
0.334 0.666 0.500
0.666 0.334 0.500
0.080 0.416 0.750
0.248 0.248 0.250
0.416 0.080 0.750
0.584 0.920 0.250
0.752 0.752 0.750
0.920 0.584 0.250
```

Record 8
# CeSm6Dy2Ho

A relaxed structure of CeSm6Dy2Ho (GGA-PBE, Alexandria).

Computed properties:
volume = 337.3 Å³/f.u.
ΔH_f (0 K) = 2.47 eV/f.u.
space-group type = C2/m, No. 12

The structure in POSCAR format:
```
CeSm6Dy2Ho
1.0
5.697 -3.461 0.000
5.697 3.461 0.000
-2.280 0.000 8.554
Ce Sm Dy Ho
1 6 2 1
direct
0.000 0.000 0.000
0.091 0.564 0.201
0.125 0.125 0.416
0.436 0.909 0.799
0.564 0.091 0.201
0.875 0.875 0.584
0.909 0.436 0.799
0.410 0.410 0.832
0.590 0.590 0.168
0.500 0.500 0.500
```

Record 9
# CeSm2DyHo

A relaxed structure of CeSm2DyHo (GGA-PBE, Alexandria).

Computed properties:
volume = 165.7 Å³/f.u.
ΔH_f (0 K) = 1.44 eV/f.u.
space-group type = P2/c, No. 13

The structure in POSCAR format:
```
CeSm2DyHo
1.0
6.665 0.000 0.000
0.000 8.137 0.000
-0.021 0.000 6.110
Ce Sm Dy Ho
2 4 2 2
direct
0.000 0.000 0.000
0.000 0.000 0.500
0.263 0.312 0.251
0.263 0.688 0.751
0.737 0.312 0.249
0.737 0.688 0.749
0.000 0.354 0.750
0.000 0.646 0.250
0.500 0.127 0.750
0.500 0.873 0.250
```

Record 10
# Ce2Sm3Dy6Ho

A relaxed structure of Ce2Sm3Dy6Ho (GGA-PBE, Alexandria).

Computed properties:
volume = 380.9 Å³/f.u.
ΔH_f (0 K) = 0.54 eV/f.u.
space-group type = C2/m, No. 12

The structure in POSCAR format:
```
Ce2Sm3Dy6Ho
1.0
3.082 -5.337 0.000
3.082 5.337 0.000
-2.054 0.000 11.578
Ce Sm Dy Ho
2 3 6 1
direct
0.166 0.834 0.000
0.834 0.166 0.000
0.000 0.000 0.500
0.334 0.666 0.500
0.666 0.334 0.500
0.082 0.417 0.753
0.247 0.247 0.247
0.417 0.082 0.753
0.583 0.918 0.247
0.753 0.753 0.753
0.918 0.583 0.247
0.500 0.500 0.000
```

Record 11
# CeSmDyHo

A relaxed structure of CeSmDyHo (GGA-PBE, Alexandria).

Computed properties:
volume = 128.8 Å³/f.u.
ΔH_f (0 K) = 0.68 eV/f.u.
space-group type = F-43m, No. 216

The structure in POSCAR format:
```
CeSmDyHo
1.0
0.000 4.008 4.008
4.008 0.000 4.008
4.008 4.008 0.000
Ce Sm Dy Ho
1 1 1 1
direct
0.000 0.000 0.000
0.500 0.500 0.500
0.250 0.250 0.250
0.750 0.750 0.750
```

Record 12
# CeSm2DyHo5

A relaxed structure of CeSm2DyHo5 (GGA-PBE, Alexandria).

Computed properties:
volume = 284.7 Å³/f.u.
ΔH_f (0 K) = 2.49 eV/f.u.
space-group type = I4/mcm, No. 140

The structure in POSCAR format:
```
CeSm2DyHo5
1.0
-4.283 4.283 7.762
4.283 -4.283 7.762
4.283 4.283 -7.762
Ce Sm Dy Ho
2 4 2 10
direct
0.250 0.750 0.500
0.750 0.250 0.500
0.121 0.621 0.741
0.379 0.121 0.500
0.621 0.879 0.500
0.879 0.379 0.259
0.250 0.250 0.000
0.750 0.750 0.000
0.000 0.000 0.000
0.063 0.157 0.500
0.157 0.657 0.094
0.343 0.437 0.500
0.437 0.937 0.094
0.500 0.500 0.000
0.563 0.063 0.906
0.657 0.563 0.500
0.843 0.343 0.906
0.937 0.843 0.500
```